# Mn12O17F7, relaxed, DFT PBE+U
# Total DFT energy (no corrections)   -6.798 eV/atom
# Crystal system   triclinic
data_Mn12O17F7
_chemical_formula_sum 'Mn12 O17 F7'
_cell_length_a 4.521
_cell_length_b 5.576
_cell_length_c 15.096
_cell_angle_alpha 90.69
_cell_angle_beta 90.18
_cell_angle_gamma 90.06
_space_group_name_H-M_alt 'P 1'
_space_group_IT_number 1
_space_group_name_Hall 'P 1'
loop_
_atom_site_label
_atom_site_type_symbol
_atom_site_fract_x
_atom_site_fract_y
_atom_site_fract_z
Mn1 Mn 0.000 0.000 0.000
Mn2 Mn 0.001 0.995 0.670
Mn3 Mn 0.004 0.720 0.506
Mn4 Mn 0.015 0.996 0.330
Mn5 Mn 0.028 0.713 0.166
Mn6 Mn 0.464 0.205 0.825
Mn7 Mn 0.468 0.523 0.658
Mn8 Mn 0.471 0.522 0.992
Mn9 Mn 0.489 0.190 0.491
Mn10 Mn 0.492 0.190 0.154
Mn11 Mn 0.507 0.506 0.320
Mn12 Mn 0.986 0.732 0.836
O1 O 0.202 0.975 0.891
O2 O 0.214 0.760 0.730
O3 O 0.230 0.952 0.564
O4 O 0.251 0.937 0.226
O5 O 0.254 0.251 0.717
O6 O 0.256 0.488 0.887
O7 O 0.256 0.736 0.055
O8 O 0.267 0.462 0.548
O9 O 0.281 0.458 0.211
O10 O 0.294 0.250 0.044
O11 O 0.300 0.240 0.378
O12 O 0.746 0.746 0.942
O13 O 0.754 0.978 0.774
O14 O 0.771 0.740 0.608
O15 O 0.791 0.969 0.443
O16 O 0.797 0.969 0.109
O17 O 0.800 0.725 0.272
F1 F 0.267 0.737 0.403
F2 F 0.722 0.262 0.933
F3 F 0.729 0.493 0.771
F4 F 0.738 0.226 0.605
F5 F 0.753 0.232 0.259
F6 F 0.760 0.487 0.096
F7 F 0.766 0.482 0.436